Record 1
An optimized crystal structure of Pm2HoC2, computed with PBE.

Cell: 6.4418 6.4418 7.4154 Å, 109.11 109.11 48.78°
Fractional positions:
Pm (0.0075, 0.0075, 0.2355)
Pm (0.3343, 0.3343, 0.9245)
Pm (0.6657, 0.6657, 0.0755)
Pm (0.9925, 0.9925, 0.7645)
Ho (0.3457, 0.3457, 0.4040)
Ho (0.6543, 0.6543, 0.5960)
C (0.1673, 0.1673, 0.0949)
C (0.4978, 0.4978, 0.2639)
C (0.5022, 0.5022, 0.7361)
C (0.8327, 0.8327, 0.9051)

Final energy ... -6.581 eV/atom
Formation enthalpy at 0 K ... -0.08 eV/atom

---

Record 2
An optimized crystal structure of PmHoC4, computed with PBE.

Cell: 4.1658 4.1658 7.1823 Å, 115.30 115.30 52.99°
Fractional positions:
Pm (0.0000, 0.0000, 0.0000)
Ho (0.5000, 0.5000, 0.5000)
C (0.1932, 0.1932, 0.7877)
C (0.3008, 0.3008, 0.6888)
C (0.6992, 0.6992, 0.3113)
C (0.8068, 0.8068, 0.2123)

Final energy ... -7.869 eV/atom
Formation enthalpy at 0 K ... -0.17 eV/atom

---

Record 3
An optimized crystal structure of PmHoCS, computed with PBE.

Cell: 3.8546 3.8546 5.3462 Å, 90.00 90.00 90.00°
Fractional positions:
Pm (0.0000, 0.0000, 0.0000)
Ho (0.5000, 0.5000, 0.5000)
C (0.0000, 0.0000, 0.5000)
S (0.5000, 0.5000, 0.0000)

Final energy ... -6.674 eV/atom
E_form (uncorrected) ... -1.00 eV/atom

---

Record 4
An optimized crystal structure of Pm3HoSb2C, computed with PBE.

Cell: 8.8203 8.8203 8.8203 Å, 148.48 147.63 45.81°
Fractional positions:
Pm (0.0000, 0.0000, 0.0000)
Pm (0.3393, 0.8393, 0.5000)
Pm (0.6607, 0.1607, 0.5000)
Ho (0.5000, 0.5000, 0.0000)
Sb (0.1396, 0.6395, 0.5000)
Sb (0.8604, 0.3604, 0.5000)
C (0.5000, 0.0000, 0.5000)

Final energy ... -5.960 eV/atom
E_form (uncorrected) ... -0.77 eV/atom

---

Record 5
An optimized crystal structure of Pm3HoSn2C, computed with PBE.

Cell: 8.9032 8.9032 8.9032 Å, 148.55 147.77 45.65°
Fractional positions:
Pm (0.0000, 0.0000, 0.0000)
Pm (0.3391, 0.8391, 0.5000)
Pm (0.6609, 0.1609, 0.5000)
Ho (0.5000, 0.5000, 0.0000)
Sn (0.1383, 0.6383, 0.5000)
Sn (0.8617, 0.3617, 0.5000)
C (0.5000, 0.0000, 0.5000)

Final energy ... -5.778 eV/atom
Formation enthalpy at 0 K ... -0.63 eV/atom

---

Record 6
An optimized crystal structure of Pm2HoSnC, computed with PBE.

Cell: 5.0626 5.0626 4.8777 Å, 90.00 90.00 90.00°
Fractional positions:
Pm (0.0000, 0.5000, 0.0000)
Pm (0.5000, 0.0000, 0.0000)
Ho (0.0000, 0.0000, 0.5000)
Sn (0.5000, 0.5000, 0.5000)
C (0.0000, 0.0000, 0.0000)

Final energy ... -6.009 eV/atom
Formation enthalpy at 0 K ... -0.55 eV/atom

---

Record 7
An optimized crystal structure of PmHo2TlC, computed with PBE.

Cell: 4.9068 4.9068 5.0849 Å, 90.00 90.00 90.00°
Fractional positions:
Pm (0.0000, 0.0000, 0.0000)
Ho (0.0000, 0.5000, 0.5000)
Ho (0.5000, 0.0000, 0.5000)
Tl (0.5000, 0.5000, 0.0000)
C (0.0000, 0.0000, 0.5000)

Final energy ... -5.511 eV/atom
Formation enthalpy at 0 K ... -0.41 eV/atom

---

Record 8
An optimized crystal structure of Pr2Ho4C, computed with PBE.

Cell: 9.6413 9.6413 9.6413 Å, 150.85 150.85 41.69°
Fractional positions:
Pr (0.1771, 0.1771, 0.0000)
Pr (0.8229, 0.8229, 0.0000)
Ho (0.0000, 0.5000, 0.5000)
Ho (0.3685, 0.3685, 0.0000)
Ho (0.5000, 0.0000, 0.5000)
Ho (0.6315, 0.6315, 0.0000)
C (0.5000, 0.5000, 0.0000)

Final energy ... -5.210 eV/atom
Formation enthalpy at 0 K ... 0.09 eV/atom

---

Record 9
An optimized crystal structure of PrHoC, computed with PBE.

Cell: 3.6530 5.0640 8.0350 Å, 90.00 90.00 90.00°
Fractional positions:
Pr (0.2500, 0.2500, 0.1651)
Pr (0.7500, 0.7500, 0.8349)
Ho (0.2500, 0.2500, 0.5917)
Ho (0.7500, 0.7500, 0.4083)
C (0.2500, 0.7500, 0.6188)
C (0.7500, 0.2500, 0.3812)

Final energy ... -6.351 eV/atom
Formation enthalpy at 0 K ... -0.16 eV/atom

---

Record 10
An optimized crystal structure of PrHoC, computed with PBE.

Cell: 3.5964 5.4504 7.5717 Å, 90.00 90.06 90.00°
Fractional positions:
Pr (0.2503, 0.2500, 0.1102)
Pr (0.7497, 0.7500, 0.8898)
Ho (0.2491, 0.2500, 0.6521)
Ho (0.7509, 0.7500, 0.3479)
C (0.2505, 0.7500, 0.1410)
C (0.7495, 0.2500, 0.8590)

Final energy ... -6.262 eV/atom
Formation enthalpy at 0 K ... -0.07 eV/atom

---

Record 11
An optimized crystal structure of PrHoC, computed with PBE.

Cell: 3.6229 3.6229 6.5238 Å, 90.00 90.00 120.00°
Fractional positions:
Pr (0.0000, 0.0000, 0.0000)
Ho (0.6667, 0.3333, 0.4254)
C (0.3333, 0.6667, 0.2348)

Final energy ... -6.352 eV/atom
Formation enthalpy at 0 K ... -0.16 eV/atom

---

Record 12
An optimized crystal structure of PrHo8C4, computed with PBE.

Cell: 9.1705 9.1705 12.3701 Å, 131.17 131.17 22.59°
Fractional positions:
Pr (0.0000, 0.0000, 0.0000)
Ho (0.0409, 0.0409, 0.7307)
Ho (0.2927, 0.2927, 0.9348)
Ho (0.3348, 0.3348, 0.6508)
Ho (0.3606, 0.3606, 0.4018)
Ho (0.6386, 0.6386, 0.5974)
Ho (0.6647, 0.6647, 0.3487)
Ho (0.7068, 0.7068, 0.0643)
Ho (0.9586, 0.9586, 0.2686)
C (0.1486, 0.1486, 0.4680)
C (0.3329, 0.3329, 0.1741)
C (0.6666, 0.6666, 0.8252)
C (0.8508, 0.8508, 0.5314)

Final energy ... -6.222 eV/atom
Formation enthalpy at 0 K ... -0.20 eV/atom

---

no.,total magnetization (μB/cell)
1,0.881
2,0.000
3,0.000
4,0.002
5,0.000
6,0.000
7,0.000
8,0.000
9,0.009
10,0.002
11,0.000
12,0.780